(1)
SCAN Cd2InNi2, PBEsol geometry; E = -25.272 eV/atom; calculated formation energy = 0.0401 eV per atom
1.0
-0.2430 0.7263 -3.7178
3.5209 -5.3984 -1.2847
-5.5331 -3.5308 -0.3281
Ni Cd In
4 4 2
Direct
0.0000 0.3668 0.8668
0.0000 0.8668 0.6332
0.0000 0.6332 0.1332
0.0000 0.1332 0.3668
0.5000 0.1604 0.6604
0.5000 0.6604 0.8396
0.5000 0.8396 0.3396
0.5000 0.3396 0.1604
0.0000 0.0000 0.0000
0.0000 0.5000 0.5000


(2)
SCAN InCoSb2, PBEsol geometry; raw formation energy = 14 meV/atom; E = -31.289 eV/atom
1.0
-1.3742 -3.0809 2.0294
1.9918 -3.0707 -3.3131
5.0430 -1.6611 0.8930
Sb Co In
2 1 1
Direct
0.0000 0.6618 0.6764
0.0000 0.3382 0.3236
0.5000 0.5000 0.0000
0.5000 0.0000 0.0000


(3)
SCAN TlSbAu2, PBEsol geometry; raw formation energy = -65 meV/atom; E above lowest polymorph = 25 meV per atom; E = -62.048 eV/atom
1.0
4.5543 0.1300 0.0000
-1.2457 4.3819 0.0000
0.0000 0.0000 4.6722
Sb Tl Au
1 1 2
Direct
0.5590 0.4408 0.0000
0.2142 0.7859 0.5000
0.9685 0.0315 0.0000
0.7583 0.2419 0.5000


(4)
SCAN LaMg2Al, PBEsol geometry; E = -15.128 eV/atom; calculated formation energy = 0.0727 eV per atom
1.0
3.1681 0.0000 0.0000
0.0000 5.8562 -0.0938
0.0000 -2.1883 5.4328
Al La Mg
1 1 2
Direct
0.5000 0.0000 0.0000
0.5000 0.5000 0.5000
0.0000 0.5000 0.0000
0.0000 0.0000 0.5000


(5)
SCAN Cs3Sc2Cl9, PBEsol geometry; raw formation energy = -2401 meV/atom; E = -17.666 eV/atom
1.0
9.4094 0.0398 0.0363
0.9914 9.3571 0.0363
0.9914 0.8957 9.3142
Cs Sc Cl
6 4 18
Direct
0.9112 0.5888 0.2500
0.4112 0.7500 0.0888
0.5888 0.2500 0.9112
0.7500 0.0888 0.4112
0.2500 0.9112 0.5888
0.0888 0.4112 0.7500
0.1533 0.1533 0.1533
0.6533 0.6533 0.6533
0.3467 0.3467 0.3467
0.8467 0.8467 0.8467
0.0974 0.2500 0.4026
0.4026 0.0974 0.2500
0.5754 0.4131 0.2404
0.2596 0.0869 0.9246
0.0754 0.7404 0.9131
0.4131 0.2404 0.5754
0.2500 0.4026 0.0974
0.5869 0.7596 0.4246
0.2404 0.5754 0.4131
0.7500 0.5974 0.9026
0.9026 0.7500 0.5974
0.4246 0.5869 0.7596
0.5974 0.9026 0.7500
0.7404 0.9131 0.0754
0.7596 0.4246 0.5869
0.0869 0.9246 0.2596
0.9246 0.2596 0.0869
0.9131 0.0754 0.7404


(6)
SCAN NaTi3Br, PBEsol geometry; raw formation energy = 664 meV/atom; E above lowest polymorph = 0 meV per atom; E = -13.689 eV/atom
1.0
4.7258 0.0000 0.0000
0.0000 4.7258 0.0000
0.0000 0.0000 4.7258
Na Br Ti
1 1 3
Direct
0.5000 0.5000 0.5000
0.0000 0.0000 0.0000
0.0000 0.5000 0.0000
0.0000 0.0000 0.5000
0.5000 0.0000 0.0000


(7)
SCAN Hf2Zn2Au, PBEsol geometry; E = -44.765 eV/atom; calculated formation energy = -0.4582 eV per atom
1.0
3.9068 0.0000 0.0000
0.0000 6.6127 0.0000
0.0000 0.0000 6.6127
Hf Zn Au
4 4 2
Direct
0.5000 0.1698 0.6698
0.5000 0.6698 0.8302
0.5000 0.8302 0.3302
0.5000 0.3302 0.1698
0.0000 0.3703 0.8703
0.0000 0.8703 0.6297
0.0000 0.6297 0.1297
0.0000 0.1297 0.3703
0.0000 0.0000 0.0000
0.0000 0.5000 0.5000


(8)
SCAN CaNbPt2, PBEsol geometry; E = -46.336 eV/atom; calculated formation energy = -0.5415 eV per atom
1.0
4.6591 0.0000 0.0000
2.3295 4.0349 0.0000
2.3295 1.3450 3.8041
Nb Ca Pt
1 1 2
Direct
0.5000 0.5000 0.5000
0.0000 0.0000 0.0000
0.2500 0.2500 0.2500
0.7500 0.7500 0.7500